Material: KInCo2
Method: DFT, GGA-PBE
State: optimized geometry Values from VASP.

## Properties
energy of formation from the pure elements: 3.86 eV per formula unit
electronic total energy: -14.2 eV for the cell shown

```
&SYSTEM
  ibrav = 0, nat = 4, ntyp = 3
/
ATOMIC_SPECIES
K 39.10 K.upf
In 114.82 In.upf
Co 58.93 Co.upf
CELL_PARAMETERS angstrom
-1.438 2.807 5.111
1.438 -2.807 5.111
1.438 2.807 -5.111
ATOMIC_POSITIONS crystal
K 0.000 0.000 0.000
In 0.500 0.500 0.000
Co 0.284 0.784 0.500
Co 0.716 0.216 0.500
```